First-principles (PBE+U) data for a relaxed SmV2O2 crystal, as listed in Alexandria via LeMat-Bulk.

Summary:
* calculated density: 5063 kg/m3
* magnetic moment: 1.2413 μB/atom
* energy: -32.855 eV per formula unit

abc: 8.916 8.916 9.382
angles: 90.00 90.00 90.00
Space group I4_1/amd (No. 141, origin choice 2)
One atom of each set of equivalent atoms:
Sm  0.000  0.000  0.000 [8 per cell]
V  0.000  0.068  0.630 [16 per cell]
O  0.000  0.098  0.220 [16 per cell]